SrMgMn2O4, optimized geometry, DFT PBE with a Hubbard U; total energy = -0.5027 Ry per atom; M_tot = 10.00 μB per cell; SG = I-42m; volume = 113 Å³/f.u.
1.0
-2.745 2.745 3.756
2.745 -2.745 3.756
2.745 2.745 -3.756
Sr Mg Mn O
1 1 2 4
Cartesian
0.000 0.000 0.000
0.000 0.000 3.756
2.745 0.000 1.878
0.000 2.745 1.878
1.179 -1.179 2.660
1.566 1.566 1.096
-1.179 1.179 2.660
1.179 1.179 4.853